(1)
Density functional theory data (PBE) for crystalline Pm5PrDy2Th at its relaxed geometry.

Cell lengths 5.721, 20.433, 10.571 Å; angles 90.00, 90.00, 90.00 degrees
Space group Cmc2_1 (No. 36)
One atom of each set of equivalent atoms:
Pm 0.000 0.016 0.000
Pm 0.000 0.277 0.292
Pm 0.000 0.294 0.682
Pm 0.000 0.388 0.004
Pm 0.000 0.477 0.717
Pr 0.000 0.411 0.424
Dy 0.000 0.114 0.710
Dy 0.000 0.116 0.297
Th 0.000 0.200 0.990

The total energy is -4.856 eV/atom. The calculation puts the calculated formation energy at 1.45 eV/f.u. The density of states at the Fermi level is 13.18 states/eV/f.u. As for the total moment: 0.00 μB/f.u.

***

(2)
Density functional theory data (PBE) for crystalline SrLi2AlH at its relaxed geometry.

Cell lengths 4.611, 4.611, 4.908 Å; angles 90.00, 90.00, 90.00 degrees
Space group P4/mmm (No. 123)
One atom of each set of equivalent atoms:
Sr 0.000 0.000 0.000
Li 0.000 0.500 0.500
Al 0.500 0.500 0.000
H 0.000 0.000 0.500

The total energy is -2.586 eV/atom. The density of states at the Fermi level is 2.75 states/eV/f.u. As for the total moment: 0.00 μB/f.u. The offset from the most stable computed form comes out at 0 meV per atom.

***

(3)
Density functional theory data (PBE) for crystalline Ba2CeTe4 at its relaxed geometry.

Cell lengths 8.673, 13.748, 4.883 Å; angles 90.00, 90.00, 90.00 degrees
Space group Pbam (No. 55)
One atom of each set of equivalent atoms:
Ba 0.089 0.182 0.000
Ce 0.000 0.500 0.500
Te 0.131 0.705 0.500
Te 0.220 0.448 0.000

The total energy is -4.704 eV/atom. The calculation puts the formation energy from raw total energies at -1511.2 meV per atom. As for the total moment: 0.12 μB/f.u. The offset from the most stable computed form comes out at 0 meV per atom.

***

(4)
Density functional theory data (PBE) for crystalline Sm2TlCd5 at its relaxed geometry.

Cell lengths 4.421, 18.254, 10.233 Å; angles 90.00, 90.00, 90.00 degrees
Space group Cmcm (No. 63)
One atom of each set of equivalent atoms:
Sm 0.000 0.000 0.000
Sm 0.000 0.188 0.250
Tl 0.000 0.462 0.750
Cd 0.000 0.203 0.602
Cd 0.000 0.362 0.530
Cd 0.000 0.382 0.250

The total energy is -2.272 eV/atom. The calculation puts the calculated formation energy at -1.80 eV/f.u. The density of states at the Fermi level is 6.02 states/eV/f.u. As for the total moment: 0.00 μB/f.u.

***

(5)
Density functional theory data (PBE) for crystalline Nd3Te2S2 at its relaxed geometry.

Cell lengths 13.756, 4.179, 7.666 Å; angles 90.00, 98.21, 90.00 degrees
Space group C2/m (No. 12)
One atom of each set of equivalent atoms:
Nd 0.000 0.000 0.000
Nd 0.239 0.000 0.760
Te 0.117 0.000 0.380
S 0.131 0.500 0.906

The total energy is -5.856 eV/atom. The calculation puts the formation energy from raw total energies at -1735.7 meV per atom. The density of states at the Fermi level is 1.75 states/eV/f.u. As for the total moment: 0.00 μB/f.u. The offset from the most stable computed form comes out at 0 meV per atom.

***

(6)
Density functional theory data (PBE) for crystalline Na6LaBr8 at its relaxed geometry.

Cell lengths 12.312, 12.312, 12.312 Å; angles 90.00, 90.00, 90.00 degrees
Space group Fm-3m (No. 225)
One atom of each set of equivalent atoms:
Na 0.000 0.250 0.250
La 0.000 0.000 0.000
Br 0.000 0.000 0.246
Br 0.250 0.250 0.250

The total energy is -3.289 eV/atom. The calculation puts the formation energy from raw total energies at -1540.3 meV per atom. The density of states at the Fermi level is 7.36 states/eV/f.u. As for the total moment: 0.72 μB/f.u.

***

(7)
Density functional theory data (PBE) for crystalline Pm3AlHg2 at its relaxed geometry.

Cell lengths 3.749, 3.749, 11.516 Å; angles 90.00, 90.00, 90.00 degrees
Space group P4/mmm (No. 123)
One atom of each set of equivalent atoms:
Pm 0.000 0.000 0.000
Pm 0.000 0.000 0.341
Al 0.500 0.500 0.500
Hg 0.500 0.500 0.171

The total energy is -3.531 eV/atom. The calculation puts the calculated formation energy at -2.59 eV/f.u. The density of states at the Fermi level is 6.92 states/eV/f.u. As for the total moment: 0.54 μB/f.u.

***

(8)
Density functional theory data (PBE) for crystalline Nd5TlGe2 at its relaxed geometry.

Cell lengths 8.041, 8.041, 14.567 Å; angles 90.00, 90.00, 90.00 degrees
Space group I4/mcm (No. 140)
One atom of each set of equivalent atoms:
Nd 0.000 0.000 0.000
Nd 0.167 0.333 0.140
Tl 0.000 0.000 0.250
Ge 0.134 0.366 0.500

The total energy is -5.014 eV/atom. The calculation puts the calculated formation energy at -4.67 eV/f.u. The density of states at the Fermi level is 7.82 states/eV/f.u. As for the total moment: 0.00 μB/f.u. The offset from the most stable computed form comes out at 0 meV per atom.

***

(9)
Density functional theory data (PBE) for crystalline Ac4B3SbPt12 at its relaxed geometry.

Cell lengths 9.273, 9.273, 9.273 Å; angles 90.00, 90.00, 90.00 degrees
Space group Im-3m (No. 229)
One atom of each set of equivalent atoms:
Ac 0.250 0.250 0.250
B 0.000 0.000 0.500
Sb 0.000 0.000 0.000
Pt 0.000 0.000 0.286
Pt 0.000 0.250 0.500

The total energy is -6.334 eV/atom. The calculation puts the formation energy from raw total energies at -680.4 meV per atom. The density of states at the Fermi level is 11.89 states/eV/f.u. As for the total moment: 0.00 μB/f.u.

***

(10)
Density functional theory data (PBE) for crystalline Sr2Al4HgAu3 at its relaxed geometry.

Cell lengths 4.528, 4.528, 10.803 Å; angles 90.00, 90.00, 90.00 degrees
Space group P-4m2 (No. 115)
One atom of each set of equivalent atoms:
Sr 0.000 0.500 0.248
Al 0.000 0.000 0.000
Al 0.000 0.500 0.636
Al 0.500 0.500 0.000
Hg 0.000 0.000 0.500
Au 0.000 0.500 0.875
Au 0.500 0.500 0.500

The total energy is -3.409 eV/atom. The calculation puts the calculated formation energy at -5.62 eV/f.u. The density of states at the Fermi level is 3.13 states/eV/f.u. As for the total moment: 0.00 μB/f.u.

***

(11)
Density functional theory data (PBE) for crystalline Rb2NaHgPt at its relaxed geometry.

Cell lengths 6.441, 6.441, 5.547 Å; angles 90.00, 90.00, 90.00 degrees
Space group P4/mmm (No. 123)
One atom of each set of equivalent atoms:
Rb 0.000 0.500 0.000
Na 0.000 0.000 0.500
Hg 0.500 0.500 0.500
Pt 0.000 0.000 0.000

The total energy is -1.888 eV/atom. The calculation puts the calculated formation energy at 0.16 eV/f.u. The density of states at the Fermi level is 3.68 states/eV/f.u. As for the total moment: 0.00 μB/f.u. The offset from the most stable computed form comes out at 50 meV per atom.

***

(12)
Density functional theory data (PBE) for crystalline CrNiIr at its relaxed geometry.

Cell lengths 2.6374, 2.6374, 6.2922 Å; angles 90.00, 90.00, 120.00 degrees
Space group P3m1 (No. 156)
One atom of each set of equivalent atoms:
Cr 0.0000 0.0000 0.0000
Ni 0.3333 0.6667 0.6813
Ir 0.6667 0.3333 0.3275

The total energy is -8.093 eV/atom. The calculation puts the calculated formation energy at -0.01 eV/f.u. The density of states at the Fermi level is 3.18 states/eV/f.u. As for the total moment: 0.00 μB/f.u. The offset from the most stable computed form comes out at 148 meV per atom.